[1]
DFT (GGA-PBE) results for crystalline PrZn4Au at its relaxed geometry.

CIF file:
```
data_PrZn4Au
_cell_length_a 4.3602
_cell_length_b 15.9198
_cell_length_c 6.7061
_cell_angle_alpha 90.00
_cell_angle_beta 90.00
_cell_angle_gamma 90.00
_space_group_name_H-M_alt 'C m c m'
_space_group_IT_number 63
_space_group_name_Hall '-C 2c 2'
loop_
_atom_site_label
_atom_site_type_symbol
_atom_site_fract_x
_atom_site_fract_y
_atom_site_fract_z
Pr1 Pr 0.0000 0.1242 0.2500
Zn1 Zn 0.0000 0.0676 0.7500
Zn2 Zn 0.0000 0.3336 0.0607
Zn3 Zn 0.0000 0.5000 0.0000
Au1 Au 0.0000 0.2309 0.7500
```

## Properties
Polymorph energy (0 for the lowest one) = 0 meV/atom
M_tot = 0.00 μB per formula unit

[2]
DFT (GGA-PBE) results for crystalline PrZn2Au10 at its relaxed geometry.

CIF file:
```
data_PrZn2Au10
_cell_length_a 5.5208
_cell_length_b 13.2920
_cell_length_c 13.5319
_cell_angle_alpha 90.00
_cell_angle_beta 90.00
_cell_angle_gamma 90.00
_space_group_name_H-M_alt 'F m m m'
_space_group_IT_number 69
_space_group_name_Hall '-F 2 2'
loop_
_atom_site_label
_atom_site_type_symbol
_atom_site_fract_x
_atom_site_fract_y
_atom_site_fract_z
Pr1 Pr 0.0000 0.0000 0.0000
Zn1 Zn 0.2500 0.0000 0.2500
Au1 Au 0.0000 0.1053 0.3875
Au2 Au 0.0000 0.1639 0.1754
Au3 Au 0.2500 0.2500 0.0000
```

## Properties
Total DFT energy (no corrections) = -3.359 eV/atom
M_tot = 0.00 μB per formula unit

[3]
DFT (GGA-PBE) results for crystalline PrZn4Au12 at its relaxed geometry.

CIF file:
```
data_PrZn4Au12
_cell_length_a 8.9491
_cell_length_b 8.9491
_cell_length_c 8.9491
_cell_angle_alpha 90.00
_cell_angle_beta 90.00
_cell_angle_gamma 90.00
_space_group_name_H-M_alt 'I m -3'
_space_group_IT_number 204
_space_group_name_Hall '-I 2 2 3'
loop_
_atom_site_label
_atom_site_type_symbol
_atom_site_fract_x
_atom_site_fract_y
_atom_site_fract_z
Pr1 Pr 0.0000 0.0000 0.0000
Zn1 Zn 0.2500 0.2500 0.2500
Au1 Au 0.0000 0.3437 0.1545
```

## Properties
Total DFT energy (no corrections) = -2.920 eV/atom
M_tot = 0.00 μB per formula unit

[4]
DFT (GGA-PBE) results for crystalline PrZn2Au7 at its relaxed geometry.

CIF file:
```
data_PrZn2Au7
_cell_length_a 6.8398
_cell_length_b 15.6051
_cell_length_c 4.1443
_cell_angle_alpha 90.00
_cell_angle_beta 90.00
_cell_angle_gamma 90.00
_space_group_name_H-M_alt 'C m m m'
_space_group_IT_number 65
_space_group_name_Hall '-C 2 2'
loop_
_atom_site_label
_atom_site_type_symbol
_atom_site_fract_x
_atom_site_fract_y
_atom_site_fract_z
Pr1 Pr 0.0000 0.0000 0.0000
Zn1 Zn 0.0000 0.2641 0.5000
Au1 Au 0.0000 0.3730 0.0000
Au2 Au 0.0000 0.5000 0.5000
Au3 Au 0.2025 0.1237 0.5000
```

## Properties
Total DFT energy (no corrections) = -3.270 eV/atom
M_tot = 0.00 μB per formula unit

[5]
DFT (GGA-PBE) results for crystalline PrZn6Au6 at its relaxed geometry.

CIF file:
```
data_PrZn6Au6
_cell_length_a 5.2720
_cell_length_b 9.1370
_cell_length_c 9.5125
_cell_angle_alpha 90.00
_cell_angle_beta 90.00
_cell_angle_gamma 90.00
_space_group_name_H-M_alt 'I m m m'
_space_group_IT_number 71
_space_group_name_Hall '-I 2 2'
loop_
_atom_site_label
_atom_site_type_symbol
_atom_site_fract_x
_atom_site_fract_y
_atom_site_fract_z
Pr1 Pr 0.0000 0.0000 0.0000
Zn1 Zn 0.0000 0.2591 0.5000
Zn2 Zn 0.2500 0.2500 0.2500
Au1 Au 0.0000 0.0000 0.3434
Au2 Au 0.0000 0.3389 0.0000
Au3 Au 0.0000 0.5000 0.3188
```

## Properties
Total DFT energy (no corrections) = -2.823 eV/atom
M_tot = 0.00 μB per formula unit

[6]
DFT (GGA-PBE) results for crystalline PrZn11Au at its relaxed geometry.

CIF file:
```
data_PrZn11Au
_cell_length_a 5.3293
_cell_length_b 12.7647
_cell_length_c 6.8663
_cell_angle_alpha 90.00
_cell_angle_beta 112.40
_cell_angle_gamma 90.00
_space_group_name_H-M_alt 'C 1 2/m 1'
_space_group_IT_number 12
loop_
_space_group_symop_operation_xyz
'x,y,z'
'-x,-y,-z'
'-x,y,-z'
'x,-y,z'
'x+1/2,y+1/2,z'
'-x+1/2,-y+1/2,-z'
'-x+1/2,y+1/2,-z'
'x+1/2,-y+1/2,z'
loop_
_atom_site_label
_atom_site_type_symbol
_atom_site_fract_x
_atom_site_fract_y
_atom_site_fract_z
Pr1 Pr 0.0000 0.0000 0.0000
Zn1 Zn 0.0000 0.5000 0.5000
Zn2 Zn 0.1036 0.3876 0.2184
Zn3 Zn 0.1804 0.1795 0.3539
Zn4 Zn 0.2500 0.2500 0.0000
Au1 Au 0.0000 0.0000 0.5000
```

## Properties
Total DFT energy (no corrections) = -1.915 eV/atom
M_tot = 0.00 μB per formula unit

[7]
DFT (GGA-PBE) results for crystalline Pr2ZnAu6 at its relaxed geometry.

CIF file:
```
data_Pr2ZnAu6
_cell_length_a 6.3583
_cell_length_b 6.3583
_cell_length_c 5.5731
_cell_angle_alpha 90.00
_cell_angle_beta 90.00
_cell_angle_gamma 120.00
_space_group_name_H-M_alt 'P -3 m 1'
_space_group_IT_number 164
_space_group_name_Hall '-P 3 2"'
loop_
_atom_site_label
_atom_site_type_symbol
_atom_site_fract_x
_atom_site_fract_y
_atom_site_fract_z
Pr1 Pr 0.3333 0.6667 0.1760
Zn1 Zn 0.0000 0.0000 0.0000
Au1 Au 0.1801 0.3602 0.6906
```

## Properties
Total DFT energy (no corrections) = -3.973 eV/atom
M_tot = 0.00 μB per formula unit

[8]
DFT (GGA-PBE) results for crystalline PrZn2Au4 at its relaxed geometry.

CIF file:
```
data_PrZn2Au4
_cell_length_a 8.4072
_cell_length_b 8.4072
_cell_length_c 5.0470
_cell_angle_alpha 90.00
_cell_angle_beta 90.00
_cell_angle_gamma 90.00
_space_group_name_H-M_alt 'I 4/m m m'
_space_group_IT_number 139
_space_group_name_Hall '-I 4 2'
loop_
_atom_site_label
_atom_site_type_symbol
_atom_site_fract_x
_atom_site_fract_y
_atom_site_fract_z
Pr1 Pr 0.0000 0.0000 0.0000
Zn1 Zn 0.0000 0.5000 0.2500
Au1 Au 0.0000 0.2335 0.5000
```

## Properties
Polymorph energy (0 for the lowest one) = 388 meV/atom
M_tot = 0.00 μB per formula unit

[9]
DFT (GGA-PBE) results for crystalline Pr4Zn2Au at its relaxed geometry.

CIF file:
```
data_Pr4Zn2Au
_cell_length_a 5.2264
_cell_length_b 5.2264
_cell_length_c 25.4514
_cell_angle_alpha 90.00
_cell_angle_beta 90.00
_cell_angle_gamma 120.00
_space_group_name_H-M_alt 'R -3 m'
_space_group_IT_number 166
_space_group_name_Hall '-R 3 2"'
loop_
_atom_site_label
_atom_site_type_symbol
_atom_site_fract_x
_atom_site_fract_y
_atom_site_fract_z
Pr1 Pr 0.0000 0.0000 0.1224
Pr2 Pr 0.0000 0.0000 0.3734
Zn1 Zn 0.0000 0.0000 0.2521
Au1 Au 0.0000 0.0000 0.5000
```

## Properties
Total DFT energy (no corrections) = -3.843 eV/atom
M_tot = 0.00 μB per formula unit

[10]
DFT (GGA-PBE) results for crystalline Pr3Zn3Au8 at its relaxed geometry.

CIF file:
```
data_Pr3Zn3Au8
_cell_length_a 4.5412
_cell_length_b 9.8549
_cell_length_c 13.3506
_cell_angle_alpha 90.00
_cell_angle_beta 90.00
_cell_angle_gamma 90.00
_space_group_name_H-M_alt 'I m m m'
_space_group_IT_number 71
_space_group_name_Hall '-I 2 2'
loop_
_atom_site_label
_atom_site_type_symbol
_atom_site_fract_x
_atom_site_fract_y
_atom_site_fract_z
Pr1 Pr 0.0000 0.0000 0.0000
Pr2 Pr 0.0000 0.0000 0.2943
Zn1 Zn 0.0000 0.1899 0.5000
Zn2 Zn 0.0000 0.5000 0.0000
Au1 Au 0.0000 0.2994 0.1247
Au2 Au 0.0000 0.3610 0.3436
```

## Properties
Polymorph energy (0 for the lowest one) = 25 meV/atom
M_tot = 0.00 μB per formula unit

[11]
DFT (GGA-PBE) results for crystalline PrZn10Au2 at its relaxed geometry.

CIF file:
```
data_PrZn10Au2
_cell_length_a 5.4546
_cell_length_b 12.7090
_cell_length_c 12.8051
_cell_angle_alpha 90.00
_cell_angle_beta 90.00
_cell_angle_gamma 90.00
_space_group_name_H-M_alt 'F m m m'
_space_group_IT_number 69
_space_group_name_Hall '-F 2 2'
loop_
_atom_site_label
_atom_site_type_symbol
_atom_site_fract_x
_atom_site_fract_y
_atom_site_fract_z
Pr1 Pr 0.0000 0.0000 0.0000
Zn1 Zn 0.0000 0.1067 0.3876
Zn2 Zn 0.0000 0.1764 0.1800
Zn3 Zn 0.2500 0.0000 0.2500
Au1 Au 0.2500 0.2500 0.0000
```

## Properties
Total DFT energy (no corrections) = -2.070 eV/atom
M_tot = 0.00 μB per formula unit

[12]
DFT (GGA-PBE) results for crystalline Pr2ZnAu2 at its relaxed geometry.

CIF file:
```
data_Pr2ZnAu2
_cell_length_a 10.9154
_cell_length_b 4.4879
_cell_length_c 11.1998
_cell_angle_alpha 90.00
_cell_angle_beta 116.22
_cell_angle_gamma 90.00
_space_group_name_H-M_alt 'C 1 2/m 1'
_space_group_IT_number 12
loop_
_space_group_symop_operation_xyz
'x,y,z'
'-x,-y,-z'
'-x,y,-z'
'x,-y,z'
'x+1/2,y+1/2,z'
'-x+1/2,-y+1/2,-z'
'-x+1/2,y+1/2,-z'
'x+1/2,-y+1/2,z'
loop_
_atom_site_label
_atom_site_type_symbol
_atom_site_fract_x
_atom_site_fract_y
_atom_site_fract_z
Pr1 Pr 0.0160 0.0000 0.3423
Pr2 Pr 0.1888 0.0000 0.1105
Zn1 Zn 0.2193 0.5000 0.3438
Au1 Au 0.0251 0.5000 0.8818
Au2 Au 0.1483 0.5000 0.5713
```

## Properties
Total DFT energy (no corrections) = -4.138 eV/atom
M_tot = 0.00 μB per formula unit